No. 1
Material: Tl3GeSe4
Method: DFT, PBE-GGA
State: relaxed

Cell and atoms, written as POSCAR:
```
Tl3GeSe4
1.0
11.005 0.000 0.000
0.000 7.652 0.000
0.000 0.000 6.475
Tl Ge Se
6 2 8
Cartesian
0.000 1.746 6.472
2.705 2.307 3.238
2.798 5.344 0.000
5.502 5.905 3.235
8.207 5.344 0.000
8.300 2.307 3.238
0.000 6.310 2.576
5.502 1.341 5.814
0.000 0.953 3.300
0.000 6.367 0.173
2.077 5.335 3.271
3.426 2.317 0.034
5.502 1.284 3.411
5.502 6.699 0.062
7.579 2.317 0.034
8.928 5.335 3.271
```

Properties
Volume   545 Å³ per cell
Density of states at the Fermi level   7.816 states/eV/cell
Total DFT energy (no corrections)   -0.1289 Ha/atom



No. 2
Material: BaCaTl2I6
Method: DFT, PBE-GGA
State: relaxed

Cell and atoms, written as POSCAR:
```
BaCaTl2I6
1.0
4.330 2.500 7.566
-4.330 2.500 7.566
0.000 -5.000 7.566
Ba Ca Tl I
1 1 2 6
Cartesian
0.000 0.000 0.000
0.000 0.000 11.279
0.000 0.000 6.757
0.000 0.000 18.206
-2.483 0.163 9.291
-1.627 -2.134 12.943
1.100 -2.232 9.291
-1.035 2.476 12.943
1.383 2.068 9.291
2.662 -0.342 12.943
```

Properties
Volume   491 Å³ per cell
Density of states at the Fermi level   0.000 states/eV/cell
Total DFT energy (no corrections)   -0.1123 Ha/atom



No. 3
Material: AcBiI
Method: DFT, PBE-GGA
State: relaxed

Cell and atoms, written as POSCAR:
```
AcBiI
1.0
2.108 -4.194 0.000
2.108 4.194 0.000
0.000 0.000 16.414
Ac Bi I
2 2 2
Cartesian
2.108 2.796 8.207
2.108 -2.796 0.000
2.108 0.168 6.007
2.108 -0.168 14.214
2.108 2.932 2.194
2.108 -2.932 10.401
```

Properties
Volume   290 Å³ per cell
Density of states at the Fermi level   4.634 states/eV/cell
Total DFT energy (no corrections)   -0.1427 Ha/atom